The following is a DFT calculation (GGA-PBE) of a relaxed structure of CuPHS.

Values from the calculation:
Crystal system: orthorhombic
SG: Pmm2 (25)
E_tot, eV/atom: -3.98

Structure (extended XYZ):
```
4
Lattice="2.7044 0.0000 0.0000 0.0000 2.4676 0.0000 0.0000 0.0000 7.3714" Properties=species:S:1:pos:R:3 pbc="T T T"
P 1.3522 1.2338 2.6744
S 1.3522 1.2338 0.4343
H 0.0000 0.0000 5.2264
Cu 1.3522 1.2338 5.1899
```

---

The following is a DFT calculation (GGA-PBE) of a relaxed structure of CuPHS.

Values from the calculation:
Crystal system: monoclinic
SG: Pm (6)
E_tot, eV/atom: -4.20

Structure (extended XYZ):
```
4
Lattice="3.9364 0.0000 0.0009 0.0000 3.1452 0.0000 -1.8557 0.0000 4.6145" Properties=species:S:1:pos:R:3 pbc="T T T"
Cu -0.6883 1.5726 2.6923
H 1.0812 0.0000 4.5303
P -0.3409 0.0000 4.4007
S 1.2836 1.5726 1.5425
```

---

The following is a DFT calculation (GGA-PBE) of a relaxed structure of CuPHS2.

Values from the calculation:
Crystal system: tetragonal
SG: P4/mmm (123)
E_tot, eV/atom: -3.02

Structure (extended XYZ):
```
5
Lattice="-3.3662 -1.7027 2.6112 3.1142 -1.6669 2.9278 -0.1350 3.8392 2.3294" Properties=species:S:1:pos:R:3 pbc="T T T"
Cu 0.0000 0.0000 0.0000
P -0.0675 1.9196 1.1647
H -0.1935 0.2348 3.9342
S 1.5571 -0.8335 1.4639
S -1.6831 -0.8513 1.3056
```

---

The following is a DFT calculation (GGA-PBE) of a relaxed structure of CuPHS.

Values from the calculation:
Crystal system: monoclinic
SG: Cm (8)
E_tot, eV/atom: -4.28

Structure (extended XYZ):
```
8
Lattice="4.9209 0.0000 0.0209 0.0000 3.4534 0.0000 -2.5945 0.0000 6.8949" Properties=species:S:1:pos:R:3 pbc="T T T"
Cu 2.0824 1.7267 4.5620
Cu 3.3796 0.0000 1.1145
S -1.3323 0.0000 3.5407
S -0.0350 1.7267 0.0932
H -0.0145 0.0000 5.8606
H 1.2828 1.7267 2.4132
P 0.5166 0.0000 4.5240
P 1.8139 1.7267 1.0766
```

---

The following is a DFT calculation (GGA-PBE) of a relaxed structure of CuPHS2.

Values from the calculation:
Crystal system: tetragonal
SG: P4/mmm (123)
E_tot, eV/atom: -3.45

Structure (extended XYZ):
```
5
Lattice="-0.0246 -4.3208 -1.7185 4.1947 -0.7623 1.8566 -1.3154 -1.0096 2.5573" Properties=species:S:1:pos:R:3 pbc="T T T"
H 0.0000 0.0000 0.0000
Cu 1.4273 -3.0463 1.3477
P -0.6577 -0.5048 1.2787
S -0.0123 -2.1604 -0.8592
S 2.0973 -0.3811 0.9283
```

---

The following is a DFT calculation (GGA-PBE) of a relaxed structure of CuPHS.

Values from the calculation:
Crystal system: triclinic
SG: P1 (1)
E_tot, eV/atom: -4.33

Structure (extended XYZ):
```
4
Lattice="-2.6617 2.2763 0.0297 -0.4344 -0.5647 3.9673 4.4551 2.5245 -1.1129" Properties=species:S:1:pos:R:3 pbc="T T T"
Cu 3.6910 2.2174 2.7854
H -0.9540 2.2031 2.0932
S 0.5036 3.9144 0.6733
P -0.8452 2.3398 0.6775
```

---

Number 1: total magnetic moment 0.000 μB per formula unit. Number 2: total magnetic moment 0.000 μB per formula unit. Number 3: total magnetic moment 0.771 μB per formula unit. Number 4: total magnetic moment 0.000 μB per formula unit. Number 5: total magnetic moment 0.000 μB per formula unit. Number 6: total magnetic moment 0.000 μB per formula unit.